1.
A plane-wave DFT calculation with PBE-GGA was carried out for Rb2ZnHgSb after structural relaxation.

Final energy ... -1.64 eV per atom
Volume ... 236 Å³/f.u.
Crystal system ... tetragonal

Geometry as CIF:
```
data_Rb2ZnHgSb
_cell_length_a 6.786
_cell_length_b 6.786
_cell_length_c 5.121
_cell_angle_alpha 90.00
_cell_angle_beta 90.00
_cell_angle_gamma 90.00
_space_group_name_H-M_alt 'P 4/m m m'
_space_group_IT_number 123
_space_group_name_Hall '-P 4 2'
loop_
_atom_site_label
_atom_site_fract_x
_atom_site_fract_y
_atom_site_fract_z
Rb1 0.000 0.500 0.000
Zn1 0.000 0.000 0.000
Hg1 0.500 0.500 0.500
Sb1 0.000 0.000 0.500
```



2.
A plane-wave DFT calculation with PBE-GGA was carried out for Er6Sb2H after structural relaxation.

Final energy ... -4.89 eV per atom
Volume ... 231 Å³/f.u.
Crystal system ... monoclinic

Geometry as CIF:
```
data_Er6Sb2H
_cell_length_a 6.450
_cell_length_b 7.370
_cell_length_c 11.672
_cell_angle_alpha 90.00
_cell_angle_beta 123.52
_cell_angle_gamma 90.00
_space_group_name_H-M_alt 'P 1 21/c 1'
_space_group_IT_number 14
loop_
_space_group_symop_operation_xyz
'x,y,z'
'-x,-y,-z'
'-x,y+1/2,-z+1/2'
'x,-y+1/2,z+1/2'
loop_
_atom_site_label
_atom_site_fract_x
_atom_site_fract_y
_atom_site_fract_z
Er1 0.077 0.200 0.460
Er2 0.344 0.699 0.461
Er3 0.394 0.019 0.249
Sb1 0.148 0.117 0.750
H1 0.000 0.000 0.000
```



3.
A plane-wave DFT calculation with PBE-GGA was carried out for CdHRh3 after structural relaxation.

Final energy ... -4.41 eV per atom
Volume ... 104 Å³/f.u.
Crystal system ... tetragonal

Geometry as CIF:
```
data_CdHRh3
_cell_length_a 4.553
_cell_length_b 4.553
_cell_length_c 20.152
_cell_angle_alpha 90.00
_cell_angle_beta 90.00
_cell_angle_gamma 90.00
_space_group_name_H-M_alt 'I -4 m 2'
_space_group_IT_number 119
_space_group_name_Hall 'I -4 -2'
loop_
_atom_site_label
_atom_site_fract_x
_atom_site_fract_y
_atom_site_fract_z
Cd1 0.000 0.000 0.000
Cd2 0.000 0.500 0.250
H1 0.000 0.500 0.640
Rh1 0.000 0.000 0.351
Rh2 0.000 0.245 0.124
```



4.
A plane-wave DFT calculation with PBE-GGA was carried out for LiCeIrRh after structural relaxation.

Final energy ... -6.49 eV per atom
Formation enthalpy at 0 K ... -0.4708 eV per atom
Volume ... 69 Å³/f.u.
Crystal system ... cubic

Geometry as CIF:
```
data_LiCeIrRh
_cell_length_a 6.523
_cell_length_b 6.523
_cell_length_c 6.523
_cell_angle_alpha 90.00
_cell_angle_beta 90.00
_cell_angle_gamma 90.00
_space_group_name_H-M_alt 'F -4 3 m'
_space_group_IT_number 216
_space_group_name_Hall 'F -4 2 3'
loop_
_atom_site_label
_atom_site_fract_x
_atom_site_fract_y
_atom_site_fract_z
Li1 0.000 0.000 0.000
Ce1 0.000 0.000 0.500
Ir1 0.250 0.250 0.250
Rh1 0.250 0.250 0.750
```



5.
A plane-wave DFT calculation with PBE-GGA was carried out for SrAlAgS3 after structural relaxation.

Final energy ... -4.46 eV per atom
Volume ... 147 Å³/f.u.
Crystal system ... monoclinic

Geometry as CIF:
```
data_SrAlAgS3
_cell_length_a 10.853
_cell_length_b 7.402
_cell_length_c 7.983
_cell_angle_alpha 90.00
_cell_angle_beta 113.94
_cell_angle_gamma 90.00
_space_group_name_H-M_alt 'C 1 2/m 1'
_space_group_IT_number 12
loop_
_space_group_symop_operation_xyz
'x,y,z'
'-x,-y,-z'
'-x,y,-z'
'x,-y,z'
'x+1/2,y+1/2,z'
'-x+1/2,-y+1/2,-z'
'-x+1/2,y+1/2,-z'
'x+1/2,-y+1/2,z'
loop_
_atom_site_label
_atom_site_fract_x
_atom_site_fract_y
_atom_site_fract_z
Sr1 0.199 0.000 0.185
Al1 0.059 0.500 0.254
Ag1 0.000 0.212 0.500
S1 0.065 0.255 0.832
S2 0.231 0.000 0.568
```



6.
A plane-wave DFT calculation with PBE-GGA was carried out for SrOs after structural relaxation.

Final energy ... -5.14 eV per atom
Formation enthalpy at 0 K ... 1.3135 eV per atom
Volume ... 43 Å³/f.u.
Crystal system ... hexagonal

Geometry as CIF:
```
data_SrOs
_cell_length_a 3.1388
_cell_length_b 3.1388
_cell_length_c 9.9954
_cell_angle_alpha 90.00
_cell_angle_beta 90.00
_cell_angle_gamma 120.00
_space_group_name_H-M_alt 'P 63/m m c'
_space_group_IT_number 194
_space_group_name_Hall '-P 6c 2c'
loop_
_atom_site_label
_atom_site_fract_x
_atom_site_fract_y
_atom_site_fract_z
Sr1 0.0000 0.0000 0.0000
Os1 0.3333 0.6667 0.2500
```



7.
A plane-wave DFT calculation with PBE-GGA was carried out for Sr2Si3Ni after structural relaxation.

Final energy ... -4.61 eV per atom
Volume ... 135 Å³/f.u.
Crystal system ... hexagonal

Geometry as CIF:
```
data_Sr2Si3Ni
_cell_length_a 4.0659
_cell_length_b 4.0659
_cell_length_c 9.3947
_cell_angle_alpha 90.00
_cell_angle_beta 90.00
_cell_angle_gamma 120.00
_space_group_name_H-M_alt 'P -6 m 2'
_space_group_IT_number 187
_space_group_name_Hall 'P -6 2'
loop_
_atom_site_label
_atom_site_fract_x
_atom_site_fract_y
_atom_site_fract_z
Sr1 0.0000 0.0000 0.2381
Si1 0.3333 0.6667 0.5000
Si2 0.6667 0.3333 0.0000
Si3 0.6667 0.3333 0.5000
Ni1 0.3333 0.6667 0.0000
```



8.
A plane-wave DFT calculation with PBE-GGA was carried out for CrNiIrW after structural relaxation.

Final energy ... -9.43 eV per atom
Formation enthalpy at 0 K ... -0.1212 eV per atom
Volume ... 53 Å³/f.u.
Crystal system ... orthorhombic

Geometry as CIF:
```
data_CrNiIrW
_cell_length_a 3.692
_cell_length_b 3.730
_cell_length_c 3.867
_cell_angle_alpha 90.00
_cell_angle_beta 90.00
_cell_angle_gamma 90.00
_space_group_name_H-M_alt 'P m m m'
_space_group_IT_number 47
loop_
_space_group_symop_operation_xyz
'x,y,z'
'-x,-y,-z'
'-x,-y,z'
'x,y,-z'
'x,-y,-z'
'-x,y,z'
'-x,y,-z'
'x,-y,z'
loop_
_atom_site_label
_atom_site_fract_x
_atom_site_fract_y
_atom_site_fract_z
Cr1 0.000 0.000 0.000
Ni1 0.000 0.500 0.500
Ir1 0.500 0.000 0.500
W1 0.500 0.500 0.000
```